Run i
Entry from the Alexandria database: crystalline SrGeC at its relaxed geometry (PBE-GGA).

Lattice parameters (Å, degrees): 4.8556 4.1203 8.0610 90.00 99.95 90.00
Closest atoms and distances in Å follow each position.
Element x y z (fractional)
Sr 0.0000 0.0000 0.0000  1 C 2.66
Sr 0.0964 0.5000 0.4641  4 C 2.80-2.91
Ge 0.4845 0.0000 0.3032  1 C 1.96
Ge 0.5842 0.5000 0.1270  2 Ge 2.59
C 0.7348 0.0000 0.5220  1 C 1.26
C 0.8883 0.0000 0.6656  1 C 1.26

***

Run ii
Entry from the Alexandria database: crystalline SrGeC at its relaxed geometry (PBE-GGA).

Lattice parameters (Å, degrees): 4.0879 4.1907 9.1551 94.69 90.07 119.11
Closest atoms and distances in Å follow each position.
Element x y z (fractional)
Sr 0.0000 0.0000 0.0000  4 C 2.79-2.87
Sr 0.0583 0.1094 0.5790  3 C 2.74-2.88
Ge 0.3548 0.7077 0.2334  3 Ge 2.58-2.62
Ge 0.6997 0.3964 0.3422  3 Ge 2.58-2.62
C 0.6434 0.2893 0.8372  1 C 1.27
C 0.7655 0.5221 0.7431  1 C 1.27

***

Run iii
Entry from the Alexandria database: crystalline SrGeC at its relaxed geometry (PBE-GGA).

Lattice parameters (Å, degrees): 4.8318 4.3303 6.8483 90.00 103.33 90.00
Closest atoms and distances in Å follow each position.
Element x y z (fractional)
Sr 0.0000 0.0000 0.0000  4 C 2.74-2.89
Sr 0.1918 0.5000 0.5115  3 C 2.75-2.94
Ge 0.5068 0.5000 0.1171  1 C 1.96
Ge 0.6521 0.0000 0.3492  2 Ge 2.68
C 0.6560 0.5000 0.8745  1 C 1.28
C 0.7799 0.5000 0.7288  1 C 1.28

***

Which structure loses on stability? run iii does.

***

Run i
Entry from the Alexandria database: crystalline SrGeC at its relaxed geometry (PBE-GGA).

Lattice parameters (Å, degrees): 4.1888 4.1888 9.6930 106.43 106.43 58.52
Closest atoms and distances in Å follow each position.
Element x y z (fractional)
Sr 0.0000 0.0000 0.0000  5 C 2.68-3.00
Sr 0.5821 0.5821 0.5983  3 C 2.69-2.93
Ge 0.1548 0.1548 0.3651  3 Ge 2.61-2.63
Ge 0.7752 0.7752 0.2519  3 Ge 2.61-2.63
C 0.2514 0.2514 0.8506  1 C 1.27
C 0.3499 0.3499 0.7642  1 C 1.27

***

Run ii
Entry from the Alexandria database: crystalline SrGeC at its relaxed geometry (PBE-GGA).

Lattice parameters (Å, degrees): 4.2456 4.2456 9.0215 100.53 100.53 58.23
Closest atoms and distances in Å follow each position.
Element x y z (fractional)
Sr 0.0717 0.0717 0.2929  3 C 2.71-2.86
Sr 0.9283 0.9283 0.7071  3 C 2.71-2.86
Ge 0.3201 0.3201 0.9449  3 Ge 2.60-2.65
Ge 0.6799 0.6799 0.0551  3 Ge 2.60-2.65
C 0.4239 0.4239 0.4525  1 C 1.27
C 0.5761 0.5761 0.5475  1 C 1.27

***

Which structure loses on stability? run i does.